A plane-wave DFT calculation with meta-GGA SCAN was carried out for a crystal of Mg2PSe relaxed with PBEsol.

Computed properties:
The energy relative to the elements, uncorrected comes out at -464 meV per atom. The value obtained for the uncorrected energy is -10.570 eV/atom. The total magnetic moment is 0.0 μB per formula unit.

Lattice parameters (Å, degrees): 3.7395 3.7395 10.9039 90.00 90.00 90.00
Closest atoms and distances in Å follow each position.
Space group I-4m2 (No. 119)
Inequivalent atoms, fractional coordinates:
Mg: 0.0000 0.0000 0.0000  4 P 2.64
Mg: 0.0000 0.5000 0.2500  4 Se 2.64
P: 0.0000 0.0000 0.5000  4 Mg 2.64
Se: 0.0000 0.5000 0.7500  4 Mg 2.64

A plane-wave DFT calculation with meta-GGA SCAN was carried out for a crystal of MgSiP relaxed with PBEsol.

Computed properties:
The energy relative to the elements, uncorrected comes out at 451 meV per atom. The value obtained for the uncorrected energy is -8.011 eV/atom. The total magnetic moment is 0.0 μB per formula unit.

Lattice parameters (Å, degrees): 6.1301 6.1301 6.1301 90.00 90.00 90.00
Closest atoms and distances in Å follow each position.
Space group F-43m (No. 216)
Inequivalent atoms, fractional coordinates:
Mg: 0.0000 0.0000 0.0000  4 Si 2.65
Si: 0.2500 0.2500 0.2500  4 Mg 2.65, 4 P 2.65
P: 0.0000 0.0000 0.5000  4 Si 2.65

A plane-wave DFT calculation with meta-GGA SCAN was carried out for a crystal of MgTa2SiP relaxed with PBEsol.

Computed properties:
The energy relative to the elements, uncorrected comes out at 578 meV per atom. The value obtained for the uncorrected energy is -31.133 eV/atom. The total magnetic moment is 0.0 μB per formula unit.

Lattice parameters (Å, degrees): 4.5886 4.5886 4.4689 90.00 90.00 90.00
Closest atoms and distances in Å follow each position.
Space group P4/mmm (No. 123)
Inequivalent atoms, fractional coordinates:
Mg: 0.0000 0.0000 0.0000  2 P 2.23
Ta: 0.0000 0.5000 0.5000  2 P 2.29
Si: 0.5000 0.5000 0.0000  8 Ta 3.20, 4 Mg 3.24
P: 0.0000 0.0000 0.5000  2 Mg 2.23, 4 Ta 2.29

A plane-wave DFT calculation with meta-GGA SCAN was carried out for a crystal of MgSn3P relaxed with PBEsol.

Computed properties:
The value obtained for the uncorrected energy is -24.101 eV/atom. The total magnetic moment is 0.0 μB per formula unit.

Lattice parameters (Å, degrees): 5.1439 5.1439 5.1439 90.00 90.00 90.00
Closest atoms and distances in Å follow each position.
Space group Pm-3m (No. 221)
Inequivalent atoms, fractional coordinates:
Mg: 0.0000 0.0000 0.0000  12 Sn 3.64
Sn: 0.0000 0.5000 0.5000  2 P 2.57
P: 0.5000 0.5000 0.5000  6 Sn 2.57

A plane-wave DFT calculation with meta-GGA SCAN was carried out for a crystal of MgSnP2 relaxed with PBEsol.

Computed properties:
The value obtained for the uncorrected energy is -15.794 eV/atom. The total magnetic moment is 0.0 μB per formula unit.

Lattice parameters (Å, degrees): 5.8896 5.8896 11.4486 90.00 90.00 90.00
Closest atoms and distances in Å follow each position.
Space group I-42d (No. 122)
Inequivalent atoms, fractional coordinates:
Mg: 0.0000 0.0000 0.0000  4 P 2.54
Sn: 0.0000 0.0000 0.5000  4 P 2.51
P: 0.2464 0.2500 0.6250  2 Sn 2.51, 2 Mg 2.54

A plane-wave DFT calculation with meta-GGA SCAN was carried out for a crystal of Mg3SnP relaxed with PBEsol.

Computed properties:
The value obtained for the uncorrected energy is -11.780 eV/atom. The total magnetic moment is 1.0 μB per formula unit.

Lattice parameters (Å, degrees): 5.1898 5.1898 5.1898 90.00 90.00 90.00
Closest atoms and distances in Å follow each position.
Space group Pm-3m (No. 221)
Inequivalent atoms, fractional coordinates:
Mg: 0.0000 0.0000 0.5000  2 Sn 2.59
Sn: 0.0000 0.0000 0.0000  6 Mg 2.59
P: 0.5000 0.5000 0.5000  12 Mg 3.67

A plane-wave DFT calculation with meta-GGA SCAN was carried out for a crystal of SrMgP2 relaxed with PBEsol.

Computed properties:
The value obtained for the uncorrected energy is -12.352 eV/atom. The total magnetic moment is 1.4 μB per formula unit.

Lattice parameters (Å, degrees): 4.1007 4.1007 5.6889 90.00 90.00 90.00
Closest atoms and distances in Å follow each position.
Space group P4mm (No. 99)
Inequivalent atoms, fractional coordinates:
Sr: 0.0000 0.0000 0.0000  6 P 2.84-2.90
Mg: 0.5000 0.5000 0.4989  6 P 2.84-2.90
P: 0.0000 0.0000 0.4999  2 Sr 2.84, 4 Mg 2.90
P: 0.5000 0.5000 0.9986  2 Mg 2.84-2.85, 4 Sr 2.90

A plane-wave DFT calculation with meta-GGA SCAN was carried out for a crystal of Sr2MgP relaxed with PBEsol.

Computed properties:
The value obtained for the uncorrected energy is -15.333 eV/atom. The energy above the most stable polymorph in this dataset comes out at 24.5 kJ/mol of atoms. The total magnetic moment is 0.7 μB per formula unit.

Lattice parameters (Å, degrees): 3.7073 3.7073 8.9105 90.00 90.00 90.00
Closest atoms and distances in Å follow each position.
Space group P4mm (No. 99)
Inequivalent atoms, fractional coordinates:
Sr: 0.0000 0.0000 0.0000  1 P 3.37, 4 Mg 3.49, 4 Sr 3.71
Sr: 0.5000 0.5000 0.4043  1 Mg 3.00, 4 P 3.26
Mg: 0.5000 0.5000 0.7409  4 P 2.83, 1 Sr 3.00
P: 0.0000 0.0000 0.6216  4 Mg 2.83